A plane-wave DFT calculation with PBE was carried out for Y3RhCl after structural relaxation.

Calculated values
V: 31.96 A^3/atom
total magnetization: 0.000 Bohr magnetons per cell
offset from the most stable computed form: 0 meV/atom
energy relative to the elements, uncorrected: -2.1 eV/f.u.

a b c (Å): 5.4263 5.4263 5.4263
angles (deg): 90.00 90.00 90.00
Space group Pm-3m (No. 221)
Inequivalent atoms, fractional coordinates:
1 Y 0.0000 0.0000 0.5000 (multiplicity 3)
2 Rh 0.0000 0.0000 0.0000 (multiplicity 1)
3 Cl 0.5000 0.5000 0.5000 (multiplicity 1)

---

A plane-wave DFT calculation with PBE was carried out for LiEr4Pt3 after structural relaxation.

Calculated values
V: 21.14 A^3/atom
total magnetization: 0.000 Bohr magnetons per cell
energy of formation from the pure elements: -1.021 eV/atom

a b c (Å): 4.9457 4.9457 13.8315
angles (deg): 90.00 90.00 90.00
Space group I4/mmm (No. 139)
Inequivalent atoms, fractional coordinates:
1 Li 0.0000 0.0000 0.0000 (multiplicity 2)
2 Er 0.0000 0.5000 0.1272 (multiplicity 8)
3 Pt 0.0000 0.0000 0.2300 (multiplicity 4)
4 Pt 0.0000 0.0000 0.5000 (multiplicity 2)

---

A plane-wave DFT calculation with PBE was carried out for Ce6SiOs2 after structural relaxation.

Calculated values
V: 23.52 A^3/atom
total magnetization: 1.618 Bohr magnetons per cell
offset from the most stable computed form: 0 meV/atom
energy relative to the elements, uncorrected: -2.4 eV/f.u.

a b c (Å): 9.9924 4.8449 8.7883
angles (deg): 90.00 95.78 90.00
Space group C2/m (No. 12)
Inequivalent atoms, fractional coordinates:
1 Ce 0.0531 0.0000 0.3446 (multiplicity 4)
2 Ce 0.1117 0.5000 0.6696 (multiplicity 4)
3 Ce 0.1904 0.5000 0.0878 (multiplicity 4)
4 Si 0.0000 0.0000 0.0000 (multiplicity 2)
5 Os 0.2280 0.5000 0.3824 (multiplicity 4)

---

A plane-wave DFT calculation with PBE was carried out for Cs3Pm3YTe8 after structural relaxation.

Calculated values
V: 43.48 A^3/atom
total magnetization: 0.000 Bohr magnetons per cell
energy relative to the elements, uncorrected: -20.1 eV/f.u.

a b c (Å): 9.0326 9.0326 27.6871
angles (deg): 90.00 90.00 120.00
Space group R-3m (No. 166, hexagonal axes)
Inequivalent atoms, fractional coordinates:
1 Cs 0.0000 0.5000 0.0000 (multiplicity 9)
2 Pm 0.0000 0.5000 0.5000 (multiplicity 9)
3 Y 0.0000 0.0000 0.5000 (multiplicity 3)
4 Te 0.0000 0.0000 0.2318 (multiplicity 6)
5 Te 0.0041 0.5021 0.2306 (multiplicity 18)